A | Material: TiCu2RuN
Method: DFT, GGA-PBE
State: optimized geometry

Lattice parameters (Å, degrees): 3.857 3.857 4.086 90.00 90.00 90.00
Space group P4/mmm (No. 123)
One atom of each set of equivalent atoms:
Ti 0.000 0.000 0.000 (multiplicity 1)
Cu 0.000 0.500 0.500 (multiplicity 2)
Ru 0.500 0.500 0.000 (multiplicity 1)
N 0.000 0.000 0.500 (multiplicity 1)

## Properties
Crystal system ... tetragonal
D(E_F) ... 9.159 states/eV/cell


B | Material: TiCu2RuN
Method: DFT, GGA-PBE
State: optimized geometry

Lattice parameters (Å, degrees): 4.629 4.629 3.677 90.00 90.00 90.00
Space group P4/mmm (No. 123)
One atom of each set of equivalent atoms:
Ti 0.000 0.000 0.000 (multiplicity 1)
Cu 0.000 0.500 0.000 (multiplicity 2)
Ru 0.500 0.500 0.500 (multiplicity 1)
N 0.000 0.000 0.500 (multiplicity 1)

## Properties
Crystal system ... tetragonal
D(E_F) ... 5.006 states/eV/cell


We find A to be the most stable, with the next structure 1132 meV per atom higher.


A | Material: CuS2N2
Method: DFT, GGA-PBE
State: optimized geometry

Lattice parameters (Å, degrees): 3.325 3.325 6.491 90.00 90.00 90.00
Space group P4/mmm (No. 123)
One atom of each set of equivalent atoms:
Cu 0.000 0.000 0.000 (multiplicity 1)
S 0.500 0.500 0.000 (multiplicity 1)
S 0.500 0.500 0.500 (multiplicity 1)
N 0.000 0.500 0.500 (multiplicity 2)

## Properties
Crystal system ... tetragonal
D(E_F) ... 3.935 states/eV/cell


B | Material: CuS2N2
Method: DFT, GGA-PBE
State: optimized geometry

Lattice parameters (Å, degrees): 3.512 3.512 7.778 90.00 90.00 90.00
Space group P4/mmm (No. 123)
One atom of each set of equivalent atoms:
Cu 0.000 0.000 0.000 (multiplicity 1)
S 0.000 0.000 0.500 (multiplicity 1)
S 0.500 0.500 0.500 (multiplicity 1)
N 0.000 0.500 0.000 (multiplicity 2)

## Properties
Crystal system ... tetragonal
D(E_F) ... 3.119 states/eV/cell


We find A to be the most stable, with the next structure 346 meV per atom higher.


A | Material: ScCuS2N
Method: DFT, GGA-PBE
State: optimized geometry

Lattice parameters (Å, degrees): 4.936 4.936 4.046 90.00 90.00 90.00
Space group P4/mmm (No. 123)
One atom of each set of equivalent atoms:
Sc 0.000 0.000 0.000 (multiplicity 1)
Cu 0.500 0.500 0.500 (multiplicity 1)
S 0.000 0.500 0.000 (multiplicity 2)
N 0.000 0.000 0.500 (multiplicity 1)

## Properties
Crystal system ... tetragonal
D(E_F) ... 6.446 states/eV/cell


B | Material: ScCuS2N
Method: DFT, GGA-PBE
State: optimized geometry

Lattice parameters (Å, degrees): 4.612 4.612 3.644 90.00 90.00 90.00
Space group P4/mmm (No. 123)
One atom of each set of equivalent atoms:
Sc 0.000 0.000 0.000 (multiplicity 1)
Cu 0.500 0.500 0.500 (multiplicity 1)
S 0.000 0.500 0.500 (multiplicity 2)
N 0.500 0.500 0.000 (multiplicity 1)

## Properties
Crystal system ... tetragonal
D(E_F) ... 3.560 states/eV/cell


We find B to be the most stable, with the next structure 320 meV per atom higher.


A | Material: CuSiS2N
Method: DFT, GGA-PBE
State: optimized geometry

Lattice parameters (Å, degrees): 4.801 4.801 3.241 90.00 90.00 90.00
Space group P4/mmm (No. 123)
One atom of each set of equivalent atoms:
Cu 0.000 0.000 0.000 (multiplicity 1)
Si 0.500 0.500 0.500 (multiplicity 1)
S 0.000 0.500 0.500 (multiplicity 2)
N 0.500 0.500 0.000 (multiplicity 1)

## Properties
Crystal system ... tetragonal
D(E_F) ... 4.528 states/eV/cell


B | Material: CuSiS2N
Method: DFT, GGA-PBE
State: optimized geometry

Lattice parameters (Å, degrees): 4.712 4.712 3.571 90.00 90.00 90.00
Space group P4/mmm (No. 123)
One atom of each set of equivalent atoms:
Cu 0.000 0.000 0.000 (multiplicity 1)
Si 0.500 0.500 0.500 (multiplicity 1)
S 0.000 0.500 0.000 (multiplicity 2)
N 0.000 0.000 0.500 (multiplicity 1)

## Properties
Crystal system ... tetragonal
D(E_F) ... 2.854 states/eV/cell


We find A to be the most stable, with the next structure 550 meV per atom higher.


A | Material: CuSnSN2
Method: DFT, GGA-PBE
State: optimized geometry

Lattice parameters (Å, degrees): 4.086 4.086 5.314 90.00 90.00 90.00
Space group P4/mmm (No. 123)
One atom of each set of equivalent atoms:
Cu 0.000 0.000 0.000 (multiplicity 1)
Sn 0.500 0.500 0.500 (multiplicity 1)
S 0.500 0.500 0.000 (multiplicity 1)
N 0.000 0.500 0.500 (multiplicity 2)

## Properties
Crystal system ... tetragonal
D(E_F) ... 2.258 states/eV/cell


B | Material: CuSnSN2
Method: DFT, GGA-PBE
State: optimized geometry

Lattice parameters (Å, degrees): 3.937 3.937 4.915 90.00 90.00 90.00
Space group P4/mmm (No. 123)
One atom of each set of equivalent atoms:
Cu 0.000 0.000 0.000 (multiplicity 1)
Sn 0.500 0.500 0.500 (multiplicity 1)
S 0.000 0.000 0.500 (multiplicity 1)
N 0.000 0.500 0.000 (multiplicity 2)

## Properties
Crystal system ... tetragonal
D(E_F) ... 1.521 states/eV/cell


We find B to be the most stable, with the next structure 181 meV per atom higher.


A | Material: CuTcSN2
Method: DFT, GGA-PBE
State: optimized geometry

Lattice parameters (Å, degrees): 3.754 3.754 5.183 90.00 90.00 90.00
Space group P4/mmm (No. 123)
One atom of each set of equivalent atoms:
Cu 0.000 0.000 0.000 (multiplicity 1)
Tc 0.500 0.500 0.500 (multiplicity 1)
S 0.500 0.500 0.000 (multiplicity 1)
N 0.000 0.500 0.500 (multiplicity 2)

## Properties
Crystal system ... tetragonal
D(E_F) ... 2.594 states/eV/cell


B | Material: CuTcSN2
Method: DFT, GGA-PBE
State: optimized geometry

Lattice parameters (Å, degrees): 3.723 3.723 4.780 90.00 90.00 90.00
Space group P4/mmm (No. 123)
One atom of each set of equivalent atoms:
Cu 0.000 0.000 0.000 (multiplicity 1)
Tc 0.500 0.500 0.500 (multiplicity 1)
S 0.000 0.000 0.500 (multiplicity 1)
N 0.000 0.500 0.000 (multiplicity 2)

## Properties
Crystal system ... tetragonal
D(E_F) ... 2.575 states/eV/cell


We find A to be the most stable, with the next structure 1018 meV per atom higher.


A | Material: CuTeS2N
Method: DFT, GGA-PBE
State: optimized geometry

Lattice parameters (Å, degrees): 4.779 4.779 3.696 90.00 90.00 90.00
Space group P4/mmm (No. 123)
One atom of each set of equivalent atoms:
Cu 0.000 0.000 0.000 (multiplicity 1)
Te 0.500 0.500 0.500 (multiplicity 1)
S 0.000 0.500 0.000 (multiplicity 2)
N 0.000 0.000 0.500 (multiplicity 1)

## Properties
Crystal system ... tetragonal
D(E_F) ... 3.386 states/eV/cell


B | Material: CuTeS2N
Method: DFT, GGA-PBE
State: optimized geometry

Lattice parameters (Å, degrees): 5.067 5.067 3.904 90.00 90.00 90.00
Space group P4/mmm (No. 123)
One atom of each set of equivalent atoms:
Cu 0.000 0.000 0.000 (multiplicity 1)
Te 0.500 0.500 0.500 (multiplicity 1)
S 0.000 0.500 0.500 (multiplicity 2)
N 0.500 0.500 0.000 (multiplicity 1)

## Properties
Crystal system ... tetragonal
D(E_F) ... 7.138 states/eV/cell


We find A to be the most stable, with the next structure 325 meV per atom higher.


A | Material: TiCuSN2
Method: DFT, GGA-PBE
State: optimized geometry

Lattice parameters (Å, degrees): 3.731 3.731 4.491 90.00 90.00 90.00
Space group P4/mmm (No. 123)
One atom of each set of equivalent atoms:
Ti 0.000 0.000 0.000 (multiplicity 1)
Cu 0.500 0.500 0.500 (multiplicity 1)
S 0.500 0.500 0.000 (multiplicity 1)
N 0.000 0.500 0.500 (multiplicity 2)

## Properties
Crystal system ... tetragonal
D(E_F) ... 3.575 states/eV/cell


B | Material: TiCuSN2
Method: DFT, GGA-PBE
State: optimized geometry

Lattice parameters (Å, degrees): 3.775 3.775 5.297 90.00 90.00 90.00
Space group P4/mmm (No. 123)
One atom of each set of equivalent atoms:
Ti 0.000 0.000 0.000 (multiplicity 1)
Cu 0.500 0.500 0.500 (multiplicity 1)
S 0.000 0.000 0.500 (multiplicity 1)
N 0.000 0.500 0.000 (multiplicity 2)

## Properties
Crystal system ... tetragonal
D(E_F) ... 4.472 states/eV/cell


We find B to be the most stable, with the next structure 496 meV per atom higher.


A | Material: TiCuS2N
Method: DFT, GGA-PBE
State: optimized geometry

Lattice parameters (Å, degrees): 4.778 4.778 3.778 90.00 90.00 90.00
Space group P4/mmm (No. 123)
One atom of each set of equivalent atoms:
Ti 0.000 0.000 0.000 (multiplicity 1)
Cu 0.500 0.500 0.500 (multiplicity 1)
S 0.000 0.500 0.000 (multiplicity 2)
N 0.000 0.000 0.500 (multiplicity 1)

## Properties
Crystal system ... tetragonal
D(E_F) ... 5.887 states/eV/cell


B | Material: TiCuS2N
Method: DFT, GGA-PBE
State: optimized geometry

Lattice parameters (Å, degrees): 4.576 4.576 3.570 90.00 90.00 90.00
Space group P4/mmm (No. 123)
One atom of each set of equivalent atoms:
Ti 0.000 0.000 0.000 (multiplicity 1)
Cu 0.500 0.500 0.500 (multiplicity 1)
S 0.000 0.500 0.500 (multiplicity 2)
N 0.500 0.500 0.000 (multiplicity 1)

## Properties
Crystal system ... tetragonal
D(E_F) ... 7.692 states/eV/cell


We find A to be the most stable, with the next structure 393 meV per atom higher.


A | Material: TlCuS2N
Method: DFT, GGA-PBE
State: optimized geometry

Lattice parameters (Å, degrees): 5.184 5.184 4.134 90.00 90.00 90.00
Space group P4/mmm (No. 123)
One atom of each set of equivalent atoms:
Tl 0.000 0.000 0.000 (multiplicity 1)
Cu 0.500 0.500 0.500 (multiplicity 1)
S 0.000 0.500 0.000 (multiplicity 2)
N 0.000 0.000 0.500 (multiplicity 1)

## Properties
Crystal system ... tetragonal
D(E_F) ... 10.714 states/eV/cell


B | Material: TlCuS2N
Method: DFT, GGA-PBE
State: optimized geometry

Lattice parameters (Å, degrees): 4.896 4.896 3.680 90.00 90.00 90.00
Space group P4/mmm (No. 123)
One atom of each set of equivalent atoms:
Tl 0.000 0.000 0.000 (multiplicity 1)
Cu 0.500 0.500 0.500 (multiplicity 1)
S 0.000 0.500 0.500 (multiplicity 2)
N 0.500 0.500 0.000 (multiplicity 1)

## Properties
Crystal system ... tetragonal
D(E_F) ... 5.019 states/eV/cell


We find B to be the most stable, with the next structure 888 meV per atom higher.


A | Material: VCuS2N
Method: DFT, GGA-PBE
State: optimized geometry

Lattice parameters (Å, degrees): 4.576 4.576 3.515 90.00 90.00 90.00
Space group P4/mmm (No. 123)
One atom of each set of equivalent atoms:
V 0.000 0.000 0.000 (multiplicity 1)
Cu 0.500 0.500 0.500 (multiplicity 1)
S 0.000 0.500 0.500 (multiplicity 2)
N 0.500 0.500 0.000 (multiplicity 1)

## Properties
Crystal system ... tetragonal
D(E_F) ... 9.810 states/eV/cell


B | Material: VCuS2N
Method: DFT, GGA-PBE
State: optimized geometry

Lattice parameters (Å, degrees): 4.692 4.692 3.599 90.00 90.00 90.00
Space group P4/mmm (No. 123)
One atom of each set of equivalent atoms:
V 0.000 0.000 0.000 (multiplicity 1)
Cu 0.500 0.500 0.500 (multiplicity 1)
S 0.000 0.500 0.000 (multiplicity 2)
N 0.000 0.000 0.500 (multiplicity 1)

## Properties
Crystal system ... tetragonal
D(E_F) ... 4.778 states/eV/cell


We find B to be the most stable, with the next structure 766 meV per atom higher.


A | Material: VCuSN2
Method: DFT, GGA-PBE
State: optimized geometry

Lattice parameters (Å, degrees): 3.694 3.694 4.804 90.00 90.00 90.00
Space group P4/mmm (No. 123)
One atom of each set of equivalent atoms:
V 0.000 0.000 0.000 (multiplicity 1)
Cu 0.500 0.500 0.500 (multiplicity 1)
S 0.500 0.500 0.000 (multiplicity 1)
N 0.000 0.500 0.500 (multiplicity 2)

## Properties
Crystal system ... tetragonal
D(E_F) ... 4.515 states/eV/cell


B | Material: VCuSN2
Method: DFT, GGA-PBE
State: optimized geometry

Lattice parameters (Å, degrees): 3.654 3.654 5.182 90.00 90.00 90.00
Space group P4/mmm (No. 123)
One atom of each set of equivalent atoms:
V 0.000 0.000 0.000 (multiplicity 1)
Cu 0.500 0.500 0.500 (multiplicity 1)
S 0.000 0.000 0.500 (multiplicity 1)
N 0.000 0.500 0.000 (multiplicity 2)

## Properties
Crystal system ... tetragonal
D(E_F) ... 2.743 states/eV/cell


We find B to be the most stable, with the next structure 851 meV per atom higher.


A | Material: YCuS2N
Method: DFT, GGA-PBE
State: optimized geometry

Lattice parameters (Å, degrees): 5.235 5.235 4.327 90.00 90.00 90.00
Space group P4/mmm (No. 123)
One atom of each set of equivalent atoms:
Y 0.000 0.000 0.000 (multiplicity 1)
Cu 0.500 0.500 0.500 (multiplicity 1)
S 0.000 0.500 0.000 (multiplicity 2)
N 0.000 0.000 0.500 (multiplicity 1)

## Properties
Crystal system ... tetragonal
D(E_F) ... 8.600 states/eV/cell


B | Material: YCuS2N
Method: DFT, GGA-PBE
State: optimized geometry

Lattice parameters (Å, degrees): 4.653 4.653 3.748 90.00 90.00 90.00
Space group P4/mmm (No. 123)
One atom of each set of equivalent atoms:
Y 0.000 0.000 0.000 (multiplicity 1)
Cu 0.500 0.500 0.500 (multiplicity 1)
S 0.000 0.500 0.500 (multiplicity 2)
N 0.500 0.500 0.000 (multiplicity 1)

## Properties
Crystal system ... tetragonal
D(E_F) ... 3.223 states/eV/cell


We find B to be the most stable, with the next structure 773 meV per atom higher.


A | Material: YCuSN2
Method: DFT, GGA-PBE
State: optimized geometry

Lattice parameters (Å, degrees): 3.911 3.911 4.497 90.00 90.00 90.00
Space group P4/mmm (No. 123)
One atom of each set of equivalent atoms:
Y 0.000 0.000 0.000 (multiplicity 1)
Cu 0.500 0.500 0.500 (multiplicity 1)
S 0.500 0.500 0.000 (multiplicity 1)
N 0.000 0.500 0.500 (multiplicity 2)

## Properties
Crystal system ... tetragonal
D(E_F) ... 3.810 states/eV/cell


B | Material: YCuSN2
Method: DFT, GGA-PBE
State: optimized geometry

Lattice parameters (Å, degrees): 4.442 4.442 5.411 90.00 90.00 90.00
Space group P4/mmm (No. 123)
One atom of each set of equivalent atoms:
Y 0.000 0.000 0.000 (multiplicity 1)
Cu 0.500 0.500 0.500 (multiplicity 1)
S 0.000 0.000 0.500 (multiplicity 1)
N 0.000 0.500 0.000 (multiplicity 2)

## Properties
Crystal system ... tetragonal
D(E_F) ... 2.461 states/eV/cell


We find A to be the most stable, with the next structure 696 meV per atom higher.